[1]
Co2OsRh | Alexandria | PBE | relaxed; space-group type = C2/m (12); crystal system = monoclinic; energy relative to the elements = 0.143 eV per atom; calculated total energy = -8.06 eV/atom
1.0
4.2494 -1.3167 0.0000
4.2494 1.3167 0.0000
-0.7925 0.0000 4.5361
Co Os Rh
2 1 1
direct
0.2483 0.2483 0.2366
0.7517 0.7517 0.7634
0.5000 0.5000 0.0000
0.0000 0.0000 0.5000

[2]
Sr5Tl2Rh2 | Alexandria | PBE | relaxed; space-group type = Cmce (64); crystal system = orthorhombic; energy relative to the elements = -0.259 eV per atom; calculated total energy = -3.35 eV/atom
1.0
9.0093 -4.0037 0.0000
9.0093 4.0037 0.0000
0.0000 0.0000 8.0694
Sr Tl Rh
10 4 4
direct
0.0000 0.0000 0.0000
0.0551 0.7062 0.6747
0.2062 0.5551 0.1747
0.2938 0.9449 0.6747
0.4449 0.7938 0.1747
0.5000 0.5000 0.5000
0.5551 0.2062 0.8253
0.7062 0.0551 0.3253
0.7938 0.4449 0.8253
0.9449 0.2938 0.3253
0.2225 0.2225 0.0000
0.2775 0.2775 0.5000
0.7225 0.7225 0.5000
0.7775 0.7775 0.0000
0.1146 0.8854 0.3835
0.3854 0.6146 0.8835
0.6146 0.3854 0.1165
0.8854 0.1146 0.6165

[3]
DyScCuPd | Alexandria | PBE | relaxed; space-group type = Amm2 (38); crystal system = orthorhombic; energy relative to the elements = -0.563 eV per atom; calculated total energy = -5.62 eV/atom
1.0
4.4441 0.0000 0.0000
0.0000 1.7813 5.1298
0.0000 -1.7813 5.1298
Dy Sc Cu Pd
1 1 1 1
direct
0.0000 0.0000 0.0000
0.5000 0.2802 0.2802
0.5000 0.5651 0.5651
0.0000 0.7238 0.7238

[4]
Cd3PdPb | Alexandria | PBE | relaxed; space-group type = Pm-3m (221); crystal system = cubic; energy relative to the elements = 0.063 eV per atom; calculated total energy = -2.27 eV/atom
1.0
5.1713 0.0000 0.0000
0.0000 5.1713 0.0000
0.0000 0.0000 5.1713
Cd Pd Pb
3 1 1
direct
0.0000 0.0000 0.5000
0.0000 0.5000 0.0000
0.5000 0.0000 0.0000
0.0000 0.0000 0.0000
0.5000 0.5000 0.5000

[5]
Ce5Bi2N | Alexandria | PBE | relaxed; space-group type = Fmmm (69); crystal system = orthorhombic; raw formation energy = -566 meV per atom; calculated total energy = -6.29 eV/atom
1.0
0.0000 4.8350 7.9418
2.8044 0.0000 7.9418
2.8044 4.8350 0.0000
Ce Bi N
5 2 1
direct
0.0000 0.0000 0.0000
0.2196 0.5569 0.4431
0.4431 0.7804 0.2196
0.5569 0.2196 0.7804
0.7804 0.4431 0.5569
0.1963 0.1963 0.8037
0.8037 0.8037 0.1963
0.5000 0.5000 0.5000

[6]
HoHf6Sc12 | Alexandria | PBE | relaxed; space-group type = R-3m (166); crystal system = trigonal; energy relative to the elements = 0.236 eV per atom; calculated total energy = -7.15 eV/atom
1.0
6.0126 3.4714 3.7468
-6.0126 3.4714 3.7468
0.0000 -6.9427 3.7468
Ho Hf Sc
1 6 12
direct
0.0000 0.0000 0.0000
0.1003 0.1003 0.6554
0.1003 0.6554 0.1003
0.3446 0.8997 0.8997
0.6554 0.1003 0.1003
0.8997 0.3446 0.8997
0.8997 0.8997 0.3446
0.0780 0.3490 0.3490
0.2369 0.5000 0.7631
0.2369 0.7631 0.5000
0.3490 0.0780 0.3490
0.3490 0.3490 0.0780
0.5000 0.2369 0.7631
0.5000 0.7631 0.2369
0.6510 0.6510 0.9220
0.6510 0.9220 0.6510
0.7631 0.2369 0.5000
0.7631 0.5000 0.2369
0.9220 0.6510 0.6510

[7]
LiNi4Pb | Alexandria | PBE | relaxed; space-group type = F-43m (216); crystal system = cubic; energy relative to the elements = -0.005 eV per atom; calculated total energy = -4.80 eV/atom
1.0
0.0000 3.4474 3.4474
3.4474 0.0000 3.4474
3.4474 3.4474 0.0000
Li Ni Pb
1 4 1
direct
0.0000 0.0000 0.0000
0.3746 0.3746 0.3746
0.3746 0.3746 0.8761
0.3746 0.8761 0.3746
0.8761 0.3746 0.3746
0.7500 0.7500 0.7500

[8]
SmB4Ir4 | Alexandria | PBE | relaxed; space-group type = P4_2/nmc (137); crystal system = tetragonal; energy relative to the elements = -0.487 eV per atom; calculated total energy = -7.92 eV/atom
1.0
5.4232 0.0000 0.0000
0.0000 5.4232 0.0000
0.0000 0.0000 7.5260
Sm B Ir
2 8 8
direct
0.2500 0.7500 0.2500
0.7500 0.2500 0.7500
0.0777 0.2500 0.0943
0.2500 0.0777 0.5943
0.2500 0.4223 0.5943
0.4223 0.2500 0.0943
0.5777 0.7500 0.9057
0.7500 0.5777 0.4057
0.7500 0.9223 0.4057
0.9223 0.7500 0.9057
0.0008 0.7500 0.6076
0.2500 0.5008 0.8924
0.2500 0.9992 0.8924
0.4992 0.7500 0.6076
0.5008 0.2500 0.3924
0.7500 0.0008 0.1076
0.7500 0.4992 0.1076
0.9992 0.2500 0.3924

[9]
La2Tb3Tm5 | Alexandria | PBE | relaxed; space-group type = C2/c (15); crystal system = monoclinic; energy relative to the elements = 0.193 eV per atom; calculated total energy = -4.42 eV/atom
1.0
5.2648 -7.9974 0.0000
5.2648 7.9974 0.0000
-5.2434 0.0000 7.7589
La Tb Tm
4 6 10
direct
0.0153 0.2688 0.0483
0.2688 0.0153 0.5483
0.7312 0.9847 0.4517
0.9847 0.7312 0.9517
0.2209 0.4635 0.4511
0.2731 0.7269 0.2500
0.4635 0.2209 0.9511
0.5365 0.7791 0.0489
0.7269 0.2731 0.7500
0.7791 0.5365 0.5489
0.0223 0.9777 0.7500
0.1530 0.3875 0.7807
0.2318 0.7682 0.7500
0.3875 0.1530 0.2807
0.4727 0.5273 0.2500
0.5273 0.4727 0.7500
0.6125 0.8470 0.7193
0.7682 0.2318 0.2500
0.8470 0.6125 0.2193
0.9777 0.0223 0.2500

[10]
Er4TlPb5 | Alexandria | PBE | relaxed; space-group type = I4 (79); crystal system = tetragonal; energy relative to the elements = -0.162 eV per atom; calculated total energy = -4.08 eV/atom
1.0
-4.9026 4.9026 3.1843
4.9026 -4.9026 3.1843
4.9026 4.9026 -3.1843
Er Tl Pb
4 1 5
direct
0.0998 0.3089 0.4087
0.3089 0.9002 0.2091
0.6911 0.0998 0.7909
0.9002 0.6911 0.5913
0.7583 0.7583 0.0000
0.2112 0.6050 0.8131
0.2539 0.2539 0.0000
0.3980 0.2112 0.6062
0.6050 0.7918 0.3938
0.7918 0.3980 0.1869

[11]
KFeRe | Alexandria | PBE | relaxed; space-group type = Fmm2 (42); crystal system = orthorhombic; energy relative to the elements = 1.019 eV per atom; calculated total energy = -6.32 eV/atom
1.0
0.0000 2.2708 7.9522
1.5359 0.0000 7.9522
1.5359 2.2708 0.0000
K Fe Re
1 1 1
direct
0.0000 0.0000 0.0000
0.3099 0.3099 0.6901
0.6882 0.6882 0.3118

[12]
CaLaPb | Alexandria | PBE | relaxed; space-group type = P3m1 (156); crystal system = trigonal; energy relative to the elements = -0.327 eV per atom; calculated total energy = -3.87 eV/atom
1.0
5.3644 0.0000 0.0000
-2.6822 4.6457 0.0000
0.0000 0.0000 4.0880
Ca La Pb
1 1 1
direct
0.0000 0.0000 0.0000
0.6667 0.3333 0.4713
0.3333 0.6667 0.8727